The following is a GGA-PBE calculation of an optimized crystal structure of Ba2TcSb, from Alexandria via LeMat-Bulk.

Output
Symmetry: No. 123
Calculated total energy in eV per cell: -16.9
Formation energy from raw total energies in meV/atom: 366
V in Å³/atom: 32.33

```
Ba2TcSb
1.0
3.642 -0.003 0.000
0.004 3.642 0.000
0.000 0.000 9.751
Ba Tc Sb
2 1 1
direct
0.000 0.000 0.520 Ba
0.000 0.000 0.980 Ba
0.500 0.500 0.750 Tc
0.500 0.500 0.250 Sb
```